No. 1
GGA-PBE TiIn2Fe2, optimized geometry; SG = P4/mbm (127); ΔE to the lowest computed polymorph = 0.0 meV/atom; energy of formation = 0.1336 eV per atom
1.0
-5.0129 2.4973 2.7494
0.3766 -4.2526 4.5495
2.4727 2.5573 2.1857
Ti Fe In
2 4 4
Direct
0.0000 0.0000 0.0000
0.5000 0.5000 0.0000
0.3739 0.8739 0.0000
0.8739 0.6261 0.0000
0.6261 0.1261 0.0000
0.1261 0.3739 0.0000
0.1767 0.6767 0.5000
0.6767 0.8233 0.5000
0.8233 0.3233 0.5000
0.3233 0.1767 0.5000

=====

No. 2
GGA-PBE Zn5Ni2Pd12, optimized geometry; SG = C2/m (12); energy of formation = -0.2096 eV per atom
1.0
-4.8960 -3.3459 4.8808
6.4914 -2.2133 -1.0485
2.1811 3.7914 4.7869
Zn Ni Pd
5 2 12
Direct
0.2321 0.4642 0.5609
0.3042 0.6084 0.0229
0.0000 0.0000 0.5000
0.6958 0.3916 0.9771
0.7679 0.5358 0.4391
0.6750 0.0000 0.0000
0.3250 0.0000 0.0000
0.9091 0.8181 0.1253
0.0346 0.7149 0.7589
0.6802 0.7149 0.7589
0.1725 0.7504 0.3460
0.5779 0.7504 0.3460
0.4349 0.8699 0.6880
0.5651 0.1301 0.3120
0.8275 0.2496 0.6540
0.4221 0.2496 0.6540
0.9654 0.2851 0.2411
0.3198 0.2851 0.2411
0.0909 0.1819 0.8747

=====

No. 3
GGA-PBE ErPuH, optimized geometry; SG = Fddd (70); ΔE to the lowest computed polymorph = 114.3 meV/atom
1.0
-0.4029 -4.9800 3.9290
0.3394 -3.9290 -4.9847
5.8411 4.3571 1.0002
H Er Pu
4 4 4
Direct
0.0341 0.9659 0.5000
0.7841 0.2159 0.0000
0.4659 0.5341 0.5000
0.2159 0.7841 0.0000
0.6250 0.3750 0.2500
0.1250 0.3750 0.7500
0.6250 0.3750 0.7500
0.6250 0.8750 0.2500
0.1192 0.6192 0.2383
0.1308 0.1308 0.2617
0.8692 0.8692 0.7383
0.3808 0.8808 0.7617

=====

No. 4
GGA-PBE Rb4RhS4, optimized geometry; SG = I-42m (121); uncorrected formation energy = -65.84 kJ per mole of atoms
1.0
-6.4795 0.6619 -3.7107
-3.5594 -3.5029 5.5904
3.8588 7.5913 2.1877
Rb Rh S
4 1 4
Direct
0.5000 0.0000 0.0000
0.0000 0.5000 0.0000
0.2976 0.2976 0.5952
0.7024 0.7024 0.4048
0.0000 0.0000 0.0000
0.7305 0.7305 0.7831
0.2695 0.9474 0.2169
0.0526 0.0526 0.7831
0.9474 0.2695 0.2169

=====

No. 5
GGA-PBE CeScAs2, optimized geometry; SG = R-3m (166); ΔE to the lowest computed polymorph = 0.0 meV/atom; energy of formation = -1.3866 eV per atom
1.0
4.0638 -0.0007 -0.0039
-2.0313 3.5199 0.0036
-2.0275 -1.1762 6.5624
Ce Sc As
1 1 2
Direct
0.0000 0.5000 0.5000
0.0000 0.0000 0.0000
0.5131 0.2566 0.7697
0.4869 0.7434 0.2303

=====

No. 6
GGA-PBE LaSmTlRu, optimized geometry; SG = F-43m (216); energy of formation = -0.1622 eV per atom
1.0
-1.6653 4.9790 -0.4225
-5.1424 1.0236 -0.4996
-2.6371 2.2408 3.9707
Ru Tl Sm La
1 1 1 1
Direct
0.7500 0.7500 0.7500
0.2500 0.2500 0.2500
0.5000 0.5000 0.5000
0.0000 0.0000 0.0000

=====

No. 7
GGA-PBE Tb6Er2Al, optimized geometry; SG = Pnnm (58); energy of formation = -0.0137 eV per atom
1.0
5.3182 0.0000 0.2534
0.0000 10.0557 -0.0003
-0.4793 -0.0003 10.1087
Tb Er Al
12 4 2
Direct
0.0001 0.0365 0.1856
0.0002 0.6853 0.5449
0.0001 0.6253 0.8794
0.4999 0.1253 0.6205
0.4998 0.1853 0.9550
0.4999 0.5365 0.3145
0.9999 0.9635 0.8144
0.9998 0.3147 0.4551
0.9999 0.3747 0.1206
0.5001 0.8747 0.3795
0.5002 0.8147 0.0450
0.5001 0.4635 0.6855
0.9999 0.2889 0.7812
0.5001 0.7889 0.7188
0.4999 0.2111 0.2812
0.0001 0.7111 0.2188
0.5000 0.5000 0.0000
0.0000 0.0000 0.5000

=====

No. 8
GGA-PBE CdB, optimized geometry; SG = P1 (1); ΔE to the lowest computed polymorph = 355.3 meV/atom; energy of formation = 0.7196 eV per atom
1.0
4.0816 0.0034 0.0024
2.0316 3.5446 0.0011
0.1894 -0.0302 5.8763
B Cd
2 2
Direct
0.6022 0.3800 0.7511
0.5954 0.3812 0.0105
0.5990 0.3803 0.3808
0.9322 0.7151 0.8806

=====

No. 9
GGA-PBE AlSeF2, optimized geometry; SG = R-3m (166); ΔE to the lowest computed polymorph = 463.5 meV/atom; uncorrected formation energy = -133.69 kJ per mole of atoms
1.0
10.0068 0.0102 0.0060
9.5666 2.9353 0.0060
9.5666 1.4396 2.5580
Al Se F
1 1 2
Direct
0.0000 0.0000 0.0000
0.5000 0.5000 0.5000
0.9436 0.9436 0.9436
0.0564 0.0564 0.0564

=====

No. 10
GGA-PBE LaEr2ScAu4, optimized geometry; SG = R-3m (166); energy of formation = -0.8153 eV per atom
1.0
-1.1005 -4.8465 -0.5083
1.2982 -2.4327 -4.1658
7.6286 -4.5189 2.0206
La Er Sc Au
1 2 1 4
Direct
0.0000 0.0000 0.0000
0.7551 0.7551 0.7347
0.2449 0.2449 0.2653
0.5000 0.5000 0.5000
0.3893 0.3893 0.8320
0.8705 0.8705 0.3886
0.1295 0.1295 0.6114
0.6107 0.6107 0.1680